Compound: ErAsPd3
Source: the Alexandria database
Functional: PBE
Structure: optimized geometry

Results
DOS(E_F), states/eV per cell: 2.79
DFT total energy, eV per atom: -5.422
Energy of formation, eV/f.u.: -2.32

Cell: 8.9809 8.9809 8.9809 Å, 146.65 146.65 47.88°
Sites, in units of the cell vectors:
Er  0.1491  0.1491  0.0000
Er  0.8509  0.8509  0.0000
As  0.2500  0.7500  0.5000
As  0.5000  0.5000  0.0000
Pd  0.3748  0.1287  0.7539
Pd  0.3748  0.6208  0.2461
Pd  0.3792  0.6252  0.7539
Pd  0.5504  0.0504  0.5000
Pd  0.8713  0.6252  0.2461
Pd  0.9496  0.4496  0.5000